Record 1
Density functional theory data (PBE-GGA) for a relaxed Hg4PPb crystal.

Output
- Total moment: 0.000 μB/atom
- Calculated volume: 25.54 Å³ per atom
- Calculated formation energy: 2.6 eV per formula unit
- Raw total energy: -0.0473 hartree per atom

Unit cell a=8.4944 b=8.4944 c=8.4944 alpha=90.00 beta=90.00 gamma=90.00
Space group F-43m (No. 216)
Asymmetric unit:
Hg 0.1246 0.1246 0.1246
P 0.2500 0.2500 0.7500
Pb 0.0000 0.0000 0.5000

***

Record 2
Density functional theory data (PBE-GGA) for a relaxed LaPrCo2 crystal.

Output
- Total moment: 0.274 μB/atom
- Relative energy among the computed polymorphs: 0.05 eV per formula unit
- Calculated volume: 22.84 Å³ per atom
- Calculated formation energy: -0.2 eV per formula unit
- Raw total energy: -0.2213 hartree per atom

Unit cell a=4.0434 b=5.6308 c=8.0252 alpha=90.00 beta=90.00 gamma=90.00
Space group Pmc2_1 (No. 26)
Asymmetric unit:
La 0.0000 0.1515 0.0000
Pr 0.5000 0.3496 0.3523
Co 0.0000 0.3252 0.6471
Co 0.5000 0.1662 0.7043

***

Record 3
Density functional theory data (PBE-GGA) for a relaxed Sr2Li16Tm crystal.

Output
- Total moment: 0.000 μB/atom
- Calculated volume: 24.56 Å³ per atom
- Calculated formation energy: 0.9 eV per formula unit
- Raw total energy: -0.0726 hartree per atom

Unit cell a=10.3475 b=10.3475 c=15.0951 alpha=90.00 beta=90.00 gamma=120.00
Space group R3m (No. 160, hexagonal axes)
Asymmetric unit:
Sr 0.0000 0.0000 0.0000
Sr 0.0000 0.0000 0.3066
Li 0.0000 0.0000 0.5460
Li 0.0004 0.5002 0.4984
Li 0.0006 0.2930 0.6498
Li 0.0095 0.5048 0.1524
Li 0.1703 0.3406 0.1374
Tm 0.0000 0.0000 0.7477

***

Record 4
Density functional theory data (PBE-GGA) for a relaxed LaIn2NiAu crystal.

Output
- Total moment: 0.000 μB/atom
- Calculated volume: 25.27 Å³ per atom
- Calculated formation energy: -1.6 eV per formula unit
- Raw total energy: -0.1549 hartree per atom

Unit cell a=4.9377 b=4.9377 c=5.1813 alpha=90.00 beta=90.00 gamma=90.00
Space group P4/mmm (No. 123)
Asymmetric unit:
La 0.0000 0.0000 0.0000
In 0.0000 0.5000 0.5000
Ni 0.0000 0.0000 0.5000
Au 0.5000 0.5000 0.0000

***

Record 5
Density functional theory data (PBE-GGA) for a relaxed PrFeP2Rh crystal.

Output
- Total moment: 0.000 μB/atom
- Calculated volume: 16.61 Å³ per atom
- Calculated formation energy: -4.8 eV per formula unit
- Raw total energy: -0.2664 hartree per atom

Unit cell a=3.8771 b=3.8771 c=11.0508 alpha=90.00 beta=90.00 gamma=90.00
Space group I-4m2 (No. 119)
Asymmetric unit:
Pr 0.0000 0.0000 0.0000
Fe 0.0000 0.5000 0.2500
P 0.0000 0.0000 0.3611
Rh 0.0000 0.5000 0.7500

***

Record 6
Density functional theory data (PBE-GGA) for a relaxed Fe8Mo3W crystal.

Output
- Total moment: 0.845 μB/atom
- Relative energy among the computed polymorphs: 0.32 eV per formula unit
- Calculated volume: 12.36 Å³ per atom
- Calculated formation energy: 0.1 eV per formula unit
- Raw total energy: -0.3461 hartree per atom

Unit cell a=4.7165 b=4.7165 c=23.0980 alpha=90.00 beta=90.00 gamma=120.00
Space group R3m (No. 160, hexagonal axes)
Asymmetric unit:
Fe 0.0000 0.0000 0.0000
Fe 0.0000 0.0000 0.5001
Fe 0.9998 0.4999 0.2499
Fe 0.0004 0.5002 0.7502
Mo 0.0000 0.0000 0.3132
Mo 0.0000 0.0000 0.6871
Mo 0.0000 0.0000 0.8125
W 0.0000 0.0000 0.1874

***

Record 7
Density functional theory data (PBE-GGA) for a relaxed MgH5IrPd2 crystal.

Output
- Total moment: 0.000 μB/atom
- Calculated volume: 9.22 Å³ per atom
- Raw total energy: -0.1581 hartree per atom

Unit cell a=3.4221 b=4.8504 c=9.9941 alpha=90.00 beta=90.00 gamma=90.00
Space group Immm (No. 71)
Asymmetric unit:
Mg 0.0000 0.0000 0.0000
H 0.0000 0.2442 0.3721
H 0.0000 0.5000 0.0000
Ir 0.0000 0.0000 0.5000
Pd 0.0000 0.5000 0.2515

***

Record 8
Density functional theory data (PBE-GGA) for a relaxed KBe2Cu crystal.

Output
- Total moment: 0.000 μB/atom
- Relative energy among the computed polymorphs: 1.27 eV per formula unit
- Calculated volume: 17.27 Å³ per atom
- Calculated formation energy: 2.2 eV per formula unit
- Raw total energy: -0.0963 hartree per atom

Unit cell a=2.6202 b=3.7090 c=7.2251 alpha=90.00 beta=100.35 gamma=90.00
Space group Pm (No. 6)
Asymmetric unit:
K 0.0000 0.0000 0.0000
Be 0.2293 0.0000 0.4399
Be 0.7039 0.5000 0.3887
Cu 0.3318 0.5000 0.6462

***

Record 9
Density functional theory data (PBE-GGA) for a relaxed Sr2ErUP4 crystal.

Output
- Total moment: 0.125 μB/atom
- Calculated volume: 25.40 Å³ per atom
- Calculated formation energy: -9.5 eV per formula unit
- Raw total energy: -0.2312 hartree per atom

Unit cell a=7.0861 b=4.1413 c=7.3162 alpha=90.00 beta=108.84 gamma=90.00
Space group P2/m (No. 10)
Asymmetric unit:
Sr 0.0000 0.0000 0.0000
Sr 0.5000 0.5000 0.0000
Er 0.0000 0.5000 0.5000
U 0.5000 0.0000 0.5000
P 0.2496 0.0000 0.7144
P 0.2703 0.5000 0.2884

***

Record 10
Density functional theory data (PBE-GGA) for a relaxed CoSNCl2 crystal.

Output
- Total moment: 0.000 μB/atom
- Relative energy among the computed polymorphs: 0.35 eV per formula unit
- Calculated volume: 17.57 Å³ per atom
- Raw total energy: -0.1201 hartree per atom

Unit cell a=4.5316 b=4.5316 c=4.2773 alpha=90.00 beta=90.00 gamma=90.00
Space group P4/mmm (No. 123)
Asymmetric unit:
Co 0.0000 0.0000 0.0000
S 0.0000 0.0000 0.5000
N 0.5000 0.5000 0.5000
Cl 0.0000 0.5000 0.0000

***

Record 11
Density functional theory data (PBE-GGA) for a relaxed TaNiGe2 crystal.

Output
- Total moment: 0.000 μB/atom
- Calculated volume: 15.98 Å³ per atom
- Calculated formation energy: 0.4 eV per formula unit
- Raw total energy: -0.2429 hartree per atom

Unit cell a=6.7425 b=6.7425 c=5.6255 alpha=90.00 beta=90.00 gamma=90.00
Space group I-42d (No. 122)
Asymmetric unit:
Ta 0.0000 0.0000 0.0000
Ni 0.0000 0.0000 0.5000
Ge 0.2087 0.2500 0.6250

***

Record 12
Density functional theory data (PBE-GGA) for a relaxed CsInSn2 crystal.

Output
- Total moment: 0.000 μB/atom
- Calculated volume: 47.33 Å³ per atom
- Calculated formation energy: 0.3 eV per formula unit
- Raw total energy: -0.1037 hartree per atom

Unit cell a=5.7360 b=7.3055 c=9.0353 alpha=90.00 beta=90.00 gamma=90.00
Space group Amm2 (No. 38)
Asymmetric unit:
Cs 0.0000 0.0000 0.0000
In 0.5000 0.0000 0.4096
Sn 0.5000 0.1912 0.7027

***

Record 13
Density functional theory data (PBE-GGA) for a relaxed LiI4 crystal.

Output
- Total moment: 0.001 μB/atom
- Calculated volume: 34.13 Å³ per atom
- Raw total energy: -0.0624 hartree per atom

Unit cell a=5.5467 b=5.5467 c=5.5467 alpha=90.00 beta=90.00 gamma=90.00
Space group Pm-3m (No. 221)
Asymmetric unit:
Li 0.0000 0.0000 0.0000
I 0.0000 0.0000 0.5000
I 0.5000 0.5000 0.5000

***

Record 14
Density functional theory data (PBE-GGA) for a relaxed Rb2Si2Ge crystal.

Output
- Total moment: 0.000 μB/atom
- Calculated volume: 27.91 Å³ per atom
- Raw total energy: -0.1190 hartree per atom

Unit cell a=6.8989 b=6.8989 c=5.8637 alpha=90.00 beta=90.00 gamma=90.00
Space group P4/mbm (No. 127)
Asymmetric unit:
Rb 0.1876 0.3124 0.0000
Si 0.1207 0.6207 0.5000
Ge 0.0000 0.0000 0.5000

***

Record 15
Density functional theory data (PBE-GGA) for a relaxed NbMo crystal.

Output
- Total moment: 0.000 μB/atom
- Calculated volume: 16.88 Å³ per atom
- Calculated formation energy: -0.2 eV per formula unit
- Raw total energy: -0.3880 hartree per atom

Unit cell a=4.5704 b=4.5704 c=6.4637 alpha=90.00 beta=90.00 gamma=90.00
Space group P4/nmm (No. 129, origin choice 2)
Asymmetric unit:
Nb 0.2500 0.2500 0.2429
Nb 0.2500 0.7500 0.5000
Mo 0.2500 0.2500 0.7546
Mo 0.2500 0.7500 0.0000

***

Record 16
Density functional theory data (PBE-GGA) for a relaxed PbC crystal.

Output
- Total moment: 0.000 μB/atom
- Relative energy among the computed polymorphs: 1.54 eV per formula unit
- Calculated volume: 23.71 Å³ per atom
- Calculated formation energy: 3.2 eV per formula unit
- Raw total energy: -0.1780 hartree per atom

Unit cell a=6.5768 b=6.5768 c=6.5768 alpha=90.00 beta=90.00 gamma=90.00
Space group Pm-3n (No. 223)
Asymmetric unit:
Pb 0.0000 0.2500 0.5000
C 0.0000 0.5000 0.2500

***

Record 17
Density functional theory data (PBE-GGA) for a relaxed ZnAg2O4 crystal.

Output
- Total moment: 0.000 μB/atom
- Relative energy among the computed polymorphs: 0.14 eV per formula unit
- Calculated volume: 14.06 Å³ per atom
- Raw total energy: -0.1512 hartree per atom

Unit cell a=6.1488 b=10.9359 c=11.7113 alpha=90.00 beta=90.00 gamma=90.00
Space group Fddd (No. 70, origin choice 2)
Asymmetric unit:
Zn 0.1250 0.1250 0.1250
Ag 0.1250 0.1250 0.4938
O 0.0604 0.3078 0.4980

***

Record 18
Density functional theory data (PBE-GGA) for a relaxed BaBe3Tc crystal.

Output
- Total moment: 0.000 μB/atom
- Relative energy among the computed polymorphs: 0.00 eV per formula unit
- Calculated volume: 18.96 Å³ per atom
- Calculated formation energy: 2.3 eV per formula unit
- Raw total energy: -0.1558 hartree per atom

Unit cell a=4.5599 b=4.5599 c=4.5599 alpha=90.00 beta=90.00 gamma=90.00
Space group Pm-3m (No. 221)
Asymmetric unit:
Ba 0.0000 0.0000 0.0000
Be 0.0000 0.5000 0.5000
Tc 0.5000 0.5000 0.5000

***

Record 19
Density functional theory data (PBE-GGA) for a relaxed ThUCo5Ge2 crystal.

Output
- Total moment: 0.141 μB/atom
- Calculated volume: 15.38 Å³ per atom
- Calculated formation energy: -1.7 eV per formula unit
- Raw total energy: -0.2660 hartree per atom

Unit cell a=4.0288 b=4.0288 c=8.5285 alpha=90.00 beta=90.00 gamma=90.00
Space group P4/mmm (No. 123)
Asymmetric unit:
Th 0.0000 0.0000 0.0000
U 0.0000 0.0000 0.5000
Co 0.0000 0.5000 0.2272
Co 0.5000 0.5000 0.0000
Ge 0.5000 0.5000 0.3526

***

Record 20
Density functional theory data (PBE-GGA) for a relaxed K8BiO3 crystal.

Output
- Total moment: 0.095 μB/atom
- Calculated volume: 29.63 Å³ per atom
- Raw total energy: -0.1086 hartree per atom

Unit cell a=7.0842 b=7.0842 c=7.0842 alpha=90.00 beta=90.00 gamma=90.00
Space group Pm-3m (No. 221)
Asymmetric unit:
K 0.2292 0.2292 0.2292
Bi 0.5000 0.5000 0.5000
O 0.0000 0.0000 0.5000